Computed, not measured: a geometry-optimized LiFeTc2W structure at the GGA-PBE level of DFT.

Cell: 4.737 4.619 4.737 Å, 90.00 90.00 90.00°
Site moments in Bohr magnetons follow the coordinates.
Positions (direct):
Fe1 0.000 0.500 0.000  2.31
Tc1 0.500 0.000 0.000  0.93
Li1 0.500 0.500 0.500  -0.01
Tc2 0.000 0.000 0.500  1.05
W1 0.000 0.000 0.000  -0.34

Calculated values
- ΔE_f: 1.49 eV/atom
- Relative energy among the computed polymorphs: 288 meV per atom
- Fermi-level density of states: 4.7 states/eV per cell